The following is a DFT calculation (GGA-PBE) of a relaxed LiLuSn crystal.

abc: 9.2897 9.2897 7.0826
angles: 90.00 90.00 120.00
Closest atoms and distances in Å follow each position.
Sites, in units of the cell vectors:
1 Lu 0.5106 0.0212 0.4936  6 Sn 3.14-3.30, 6 Li 3.14-3.34
2 Lu 0.5106 0.4894 0.4936  6 Sn 3.14-3.30, 6 Li 3.14-3.34
3 Lu 0.9788 0.4894 0.4936  6 Sn 3.14-3.30, 6 Li 3.14-3.34
4 Lu 0.4894 0.9788 0.9936  6 Sn 3.14-3.30, 6 Li 3.14-3.34
5 Lu 0.4894 0.5106 0.9936  6 Sn 3.14-3.30, 6 Li 3.14-3.34
6 Lu 0.0212 0.5106 0.9936  6 Sn 3.14-3.30, 6 Li 3.14-3.34
7 Lu 0.0000 0.0000 0.4991  6 Li 3.08-3.36, 6 Sn 3.15-3.28
8 Lu 0.0000 0.0000 0.9991  6 Li 3.08-3.36, 6 Sn 3.15-3.28
9 Sn 0.1667 0.3334 0.7316  3 Li 2.70-2.71
10 Sn 0.1667 0.8333 0.7316  3 Li 2.70-2.71
11 Sn 0.6666 0.8333 0.7316  3 Li 2.70-2.71
12 Sn 0.8333 0.6666 0.2316  3 Li 2.70-2.71
13 Sn 0.8333 0.1667 0.2316  3 Li 2.70-2.71
14 Sn 0.3334 0.1667 0.2316  3 Li 2.70-2.71
15 Sn 0.3333 0.6667 0.2591  4 Li 2.69-3.00
16 Sn 0.6667 0.3333 0.7591  4 Li 2.69-3.00
17 Li 0.1667 0.3335 0.2850  3 Sn 2.69-2.71
18 Li 0.1667 0.8333 0.2850  3 Sn 2.69-2.71
19 Li 0.6665 0.8333 0.2850  3 Sn 2.69-2.71
20 Li 0.8333 0.6665 0.7850  3 Sn 2.69-2.71
21 Li 0.8333 0.1667 0.7850  3 Sn 2.69-2.71
22 Li 0.3335 0.1667 0.7850  3 Sn 2.69-2.71
23 Li 0.3333 0.6667 0.6823  4 Sn 2.70-3.00
24 Li 0.6667 0.3333 0.1823  4 Sn 2.70-3.00

Computed properties:
Energy of formation: -0.60 eV per atom
ρ: 7.545 g/cm³
Space-group type: P6_3mc
M_tot: 0.000 μB per atom
Uncorrected energy: -4.082 eV per atom
V: 66.2 Å³/f.u.